1.
Li2TlSbMo: optimized geometry, PBE-GGA.

Output
Total moment   3.33 μB/f.u.
Raw total energy   -3.73 eV per atom
Crystal system   tetragonal
Formation energy (no corrections)   0.50 eV per atom
Symmetry   No. 123
Volume   135.8 Å³/cell

Cell lengths 5.0639, 5.0639, 5.2950 Å; angles 90.00, 90.00, 90.00 degrees
Fractional coordinates of all 5 atoms:
Li 0.0000 0.5000 0.0000
Li 0.5000 0.0000 0.0000
Tl 0.0000 0.0000 0.5000
Sb 0.5000 0.5000 0.0000
Mo 0.5000 0.5000 0.5000

2.
PuThCuPt: optimized geometry, PBE-GGA.

Output
Total moment   5.79 μB/f.u.
Raw total energy   -8.42 eV per atom
Crystal system   cubic
Energy relative to the elements   -0.45 eV per atom
Symmetry   No. 216
Volume   359.8 Å³/cell

Cell lengths 7.1123, 7.1123, 7.1123 Å; angles 90.00, 90.00, 90.00 degrees
Fractional coordinates of all 16 atoms:
Pu 0.0000 0.0000 0.0000
Pu 0.0000 0.5000 0.5000
Pu 0.5000 0.0000 0.5000
Pu 0.5000 0.5000 0.0000
Th 0.0000 0.0000 0.5000
Th 0.0000 0.5000 0.0000
Th 0.5000 0.0000 0.0000
Th 0.5000 0.5000 0.5000
Cu 0.2500 0.2500 0.2500
Cu 0.2500 0.7500 0.7500
Cu 0.7500 0.2500 0.7500
Cu 0.7500 0.7500 0.2500
Pt 0.2500 0.2500 0.7500
Pt 0.2500 0.7500 0.2500
Pt 0.7500 0.2500 0.2500
Pt 0.7500 0.7500 0.7500

3.
ZrRu2Pt: optimized geometry, PBE-GGA.

Output
Total moment   0.00 μB/f.u.
Raw total energy   -8.42 eV per atom
Crystal system   cubic
Energy relative to the elements   -0.13 eV per atom
Symmetry   No. 225
Volume   259.8 Å³/cell

Cell lengths 6.3806, 6.3806, 6.3806 Å; angles 90.00, 90.00, 90.00 degrees
Fractional coordinates of all 16 atoms:
Zr 0.0000 0.0000 0.0000
Zr 0.0000 0.5000 0.5000
Zr 0.5000 0.0000 0.5000
Zr 0.5000 0.5000 0.0000
Ru 0.2500 0.2500 0.2500
Ru 0.2500 0.2500 0.7500
Ru 0.2500 0.7500 0.2500
Ru 0.2500 0.7500 0.7500
Ru 0.7500 0.2500 0.2500
Ru 0.7500 0.2500 0.7500
Ru 0.7500 0.7500 0.2500
Ru 0.7500 0.7500 0.7500
Pt 0.0000 0.0000 0.5000
Pt 0.0000 0.5000 0.0000
Pt 0.5000 0.0000 0.0000
Pt 0.5000 0.5000 0.5000

4.
KUS3Br: optimized geometry, PBE-GGA.

Output
Total moment   0.00 μB/f.u.
Raw total energy   -5.46 eV per atom
Crystal system   monoclinic
Formation energy (no corrections)   -1.06 eV per atom
Symmetry   No. 15
Volume   435.3 Å³/cell

Cell lengths 12.2938, 12.2938, 6.0523 Å; angles 99.49, 99.49, 145.21 degrees
Fractional coordinates of all 12 atoms:
K 0.0997 0.9003 0.7500
K 0.9003 0.0997 0.2500
U 0.3015 0.6985 0.2500
U 0.6985 0.3015 0.7500
S 0.1104 0.6823 0.9288
S 0.3177 0.8896 0.5712
S 0.4049 0.5951 0.2500
S 0.5951 0.4049 0.7500
S 0.6823 0.1104 0.4288
S 0.8896 0.3177 0.0712
Br 0.3456 0.6544 0.7500
Br 0.6544 0.3456 0.2500